No. 1
Crystalline MgVIr3 at its relaxed geometry, computed with GGA-PBE.

Lattice parameters (Å, degrees): 4.544 4.544 4.544 90.00 90.00 90.00
Space group Pm-3m (No. 221)
Unique sites:
Mg 0.000 0.000 0.000 (multiplicity 1)
V 0.500 0.500 0.500 (multiplicity 1)
Ir 0.000 0.500 0.500 (multiplicity 3)

Computed properties:
D(E_F) (states/eV per cell): 3.0
Total DFT energy (no corrections) (eV/atom): -6.722


No. 2
Crystalline AgBiO2 at its relaxed geometry, computed with GGA-PBE.

Lattice parameters (Å, degrees): 3.5504 3.5504 17.8475 90.00 90.00 120.00
Space group R3m (No. 160, hexagonal axes)
Unique sites:
Ag 0.0000 0.0000 0.0000 (multiplicity 3)
Bi 0.0000 0.0000 0.8287 (multiplicity 3)
O 0.0000 0.0000 0.2335 (multiplicity 3)
O 0.0000 0.0000 0.4219 (multiplicity 3)

Computed properties:
Formation energy without anion corrections (eV per atom): -0.58
D(E_F) (states/eV per cell): 5.0
Total DFT energy (no corrections) (eV/atom): -4.746